A relaxed structure of Ho2AlB2Ru5, computed with GGA-PBE.

```
Ho2AlB2Ru5
1.0
9.558 0.000 0.000
0.000 9.558 0.000
0.000 0.000 3.111
Ho Al B Ru
4 2 4 10
direct
0.176 0.324 0.000
0.324 0.824 0.000
0.676 0.176 0.000
0.824 0.676 0.000
0.000 0.000 0.000
0.500 0.500 0.000
0.124 0.624 0.000
0.376 0.124 0.000
0.624 0.876 0.000
0.876 0.376 0.000
0.000 0.500 0.500
0.069 0.782 0.500
0.218 0.069 0.500
0.282 0.569 0.500
0.431 0.282 0.500
0.500 0.000 0.500
0.569 0.718 0.500
0.718 0.431 0.500
0.782 0.931 0.500
0.931 0.218 0.500
```

Calculated values
Its crystal system is tetragonal. Its space-group type is P4/mbm, No. 127. The calculation puts the magnetization at 0.00 μB/f.u. The energy relative to the elements is -5.17 eV/f.u.

=====

A relaxed structure of MnCuP, computed with GGA-PBE.

```
MnCuP
1.0
5.923 0.000 0.000
0.000 3.484 0.000
0.000 0.000 7.318
Mn Cu P
4 4 4
direct
0.031 0.250 0.161
0.469 0.750 0.661
0.531 0.250 0.339
0.969 0.750 0.839
0.138 0.250 0.566
0.362 0.750 0.066
0.638 0.250 0.934
0.862 0.750 0.434
0.248 0.250 0.866
0.252 0.750 0.366
0.748 0.250 0.634
0.752 0.750 0.134
```

Calculated values
As for the energy relative to the lowest polymorph listed for this composition: 0.41 eV per formula unit. Its crystal system is orthorhombic. Its space-group type is Pnma, No. 62. The calculation puts the magnetization at 2.93 μB/f.u. The energy relative to the elements is -0.46 eV/f.u.

=====

A relaxed structure of Sr2CaMgAg, computed with GGA-PBE.

```
Sr2CaMgAg
1.0
6.083 0.000 0.000
0.000 6.083 0.000
0.000 0.000 5.804
Sr Ca Mg Ag
2 1 1 1
direct
0.000 0.500 0.000
0.500 0.000 0.000
0.000 0.000 0.500
0.500 0.500 0.500
0.000 0.000 0.000
```

Calculated values
As for the energy relative to the lowest polymorph listed for this composition: 0.16 eV per formula unit. Its crystal system is tetragonal. Its space-group type is P4/mmm, No. 123. The calculation puts the magnetization at 0.00 μB/f.u. The energy relative to the elements is 0.10 eV/f.u.

=====

A relaxed structure of YSnTeO6, computed with GGA-PBE.

```
YSnTeO6
1.0
5.545 0.000 0.000
-2.772 4.802 0.000
0.000 0.000 9.061
Y Sn Te O
2 2 2 12
direct
0.333 0.667 0.250
0.667 0.333 0.750
0.000 0.000 0.000
0.000 0.000 0.500
0.333 0.667 0.750
0.667 0.333 0.250
0.032 0.346 0.626
0.032 0.686 0.874
0.314 0.346 0.874
0.314 0.968 0.626
0.346 0.032 0.126
0.346 0.314 0.374
0.654 0.686 0.626
0.654 0.968 0.874
0.686 0.032 0.374
0.686 0.654 0.126
0.968 0.314 0.126
0.968 0.654 0.374
```

Calculated values
The calculation puts the total energy at -6.5438 eV/atom. Its crystal system is trigonal. Its space-group type is P-31c, No. 163. The calculation puts the magnetization at 0.00 μB/f.u.

=====

A relaxed structure of HoTm4Th, computed with GGA-PBE.

```
HoTm4Th
1.0
1.772 -9.128 0.000
1.772 9.128 0.000
0.000 0.000 11.344
Ho Tm Th
2 8 2
direct
0.221 0.779 0.500
0.779 0.221 0.000
0.001 0.999 0.254
0.112 0.888 0.006
0.332 0.668 0.252
0.445 0.555 0.001
0.555 0.445 0.501
0.668 0.332 0.752
0.888 0.112 0.506
0.999 0.001 0.754
0.334 0.666 0.752
0.666 0.334 0.252
```

Calculated values
As for the energy relative to the lowest polymorph listed for this composition: 0.00 eV per formula unit. Its crystal system is orthorhombic. Its space-group type is Cmc2_1, No. 36. The calculation puts the magnetization at 0.00 μB/f.u. The energy relative to the elements is -0.01 eV/f.u.

=====

A relaxed structure of RbSrAg3, computed with GGA-PBE.

```
RbSrAg3
1.0
5.905 0.000 0.000
0.000 5.905 0.000
0.000 0.000 5.905
Rb Sr Ag
1 1 3
direct
0.000 0.000 0.000
0.500 0.500 0.500
0.000 0.000 0.500
0.000 0.500 0.000
0.500 0.000 0.000
```

Calculated values
As for the energy relative to the lowest polymorph listed for this composition: 1.68 eV per formula unit. Its crystal system is cubic. Its space-group type is Pm-3m, No. 221. The calculation puts the magnetization at 0.00 μB/f.u. The energy relative to the elements is 3.24 eV/f.u.

=====

A relaxed structure of YMo2P, computed with GGA-PBE.

```
YMo2P
1.0
-2.012 2.012 9.577
2.012 -2.012 9.577
2.012 2.012 -9.577
Y Mo P
2 4 2
direct
0.000 0.000 0.000
0.750 0.250 0.500
0.199 0.125 0.574
0.375 0.801 0.926
0.551 0.625 0.426
0.875 0.449 0.074
0.250 0.750 0.500
0.500 0.500 0.000
```

Calculated values
Its crystal system is tetragonal. Its space-group type is I-42d, No. 122. The calculation puts the magnetization at 0.00 μB/f.u. The energy relative to the elements is 0.57 eV/f.u.

=====

A relaxed structure of LiMg2Co, computed with GGA-PBE.

```
LiMg2Co
1.0
4.454 -1.411 0.000
4.454 1.411 0.000
-0.659 0.000 5.363
Li Mg Co
1 2 1
direct
0.000 0.000 0.000
0.240 0.240 0.733
0.760 0.760 0.267
0.500 0.500 0.500
```

Calculated values
Its crystal system is monoclinic. Its space-group type is C2/m, No. 12. The calculation puts the magnetization at 1.16 μB/f.u. The energy relative to the elements is 0.74 eV/f.u.

=====

A relaxed structure of ScAgBi, computed with GGA-PBE.

```
ScAgBi
1.0
-2.001 2.001 4.496
2.001 -2.001 4.496
2.001 2.001 -4.496
Sc Ag Bi
1 1 1
direct
0.000 0.000 0.000
0.330 0.330 0.000
0.656 0.656 0.000
```

Calculated values
Its crystal system is tetragonal. Its space-group type is I4mm, No. 107. The calculation puts the magnetization at 0.00 μB/f.u. The energy relative to the elements is -0.49 eV/f.u.

=====

A relaxed structure of YSi2Sb, computed with GGA-PBE.

```
YSi2Sb
1.0
3.301 0.000 0.000
0.000 3.301 0.000
0.000 0.000 7.911
Y Si Sb
1 2 1
direct
0.000 0.000 0.000
0.500 0.500 0.250
0.500 0.500 0.750
0.000 0.000 0.500
```

Calculated values
The calculation puts the total energy at -5.2189 eV/atom. Its crystal system is tetragonal. Its space-group type is P4/mmm, No. 123. The calculation puts the magnetization at 0.00 μB/f.u.

=====

A relaxed structure of Er2Cu3Ge4Au, computed with GGA-PBE.

```
Er2Cu3Ge4Au
1.0
4.150 0.000 0.000
0.000 4.150 0.000
0.000 0.000 10.310
Er Cu Ge Au
2 3 4 1
direct
0.000 0.500 0.249
0.500 0.000 0.751
0.000 0.500 0.870
0.500 0.000 0.130
0.500 0.500 0.500
0.000 0.000 0.000
0.000 0.500 0.645
0.500 0.000 0.355
0.500 0.500 0.000
0.000 0.000 0.500
```

Calculated values
Its crystal system is tetragonal. Its space-group type is P-4m2, No. 115. The calculation puts the magnetization at 0.00 μB/f.u. The energy relative to the elements is -4.36 eV/f.u.